Entry from OQMD: a geometry-optimized AgCl structure (GGA-PBE).

The structure belongs to space group P4_2/ncm (No. 138, origin choice 2); the cell edges are 4.386, 4.386 and 11.776 Å and the angles 90.00°, 90.00° and 90.00°. Symmetry generates all atoms from Ag at (0.000, 0.000, 0.000) and Cl at (0.250, 0.250, 0.153).

The calculation puts the calculated density at 4.20 g/cm3. The calculation puts the total energy at -2.73 eV per atom.



Entry from OQMD: a geometry-optimized AgCl structure (GGA-PBE).

The structure belongs to space group Pm-3m (No. 221); the cell edges are 3.424, 3.424 and 3.424 Å and the angles 90.00°, 90.00° and 90.00°. Symmetry generates all atoms from Ag at (0.000, 0.000, 0.000) and Cl at (0.500, 0.500, 0.500).

The calculation puts the calculated density at 5.93 g/cm3. The calculation puts the total energy at -2.63 eV per atom.



Entry from OQMD: a geometry-optimized AgCl3 structure (GGA-PBE).

The structure belongs to space group P-1 (No. 2); the cell edges are 5.982, 6.399 and 6.414 Å and the angles 69.30°, 73.52° and 84.53°. Symmetry generates all atoms from Ag at (0.021, 0.167, 0.163), Cl at (0.213, 0.753, 0.520), Cl at (0.258, 0.089, 0.828) and Cl at (0.294, 0.421, 0.133).

The calculation puts the calculated density at 3.23 g/cm3. The calculation puts the total energy at -2.28 eV per atom.



Entry from OQMD: a geometry-optimized AgCl structure (GGA-PBE).

The structure belongs to space group P6_3/mmc (No. 194); the cell edges are 4.3745, 4.3745 and 6.1570 Å and the angles 90.00°, 90.00° and 120.00°. Symmetry generates all atoms from Ag at (0.0000, 0.0000, 0.2500) and Cl at (0.3333, 0.6667, 0.2500).

The calculation puts the calculated density at 4.66 g/cm3. The calculation puts the total energy at -2.75 eV per atom.



Q: Among the records above, which one has the highest calculated density?
A: number 2



Q: Which of these has the lowest calculated density?
A: AgCl3



Q: The lowest calculated density belongs to which entry?
A: AgCl3